Below is an optimized crystal structure of Cs5Hg2S5, with properties calculated at the PBE level.

Computed properties:
- V (Å³/cell) = 871.7
- size of the total moment (μB/f.u.) = 0.86

abc: 16.582 4.427 12.019
angles: 90.00 98.94 90.00
Space group C2/m (No. 12)
Symmetry-distinct sites (fractional):
Cs 0.000 0.000 0.000 [2 per cell]
Cs 0.144 0.000 0.582 [4 per cell]
Cs 0.218 0.500 0.132 [4 per cell]
Hg 0.023 0.500 0.286 [4 per cell]
S 0.000 0.500 0.500 [2 per cell]
S 0.113 0.000 0.279 [4 per cell]
S 0.115 0.500 0.842 [4 per cell]

---

Below is an optimized crystal structure of CsHg2S2, with properties calculated at the PBE level.

Computed properties:
- V (Å³/cell) = 316.4
- size of the total moment (μB/f.u.) = 0.00

abc: 4.880 4.880 13.286
angles: 90.00 90.00 90.00
Space group I4/mmm (No. 139)
Symmetry-distinct sites (fractional):
Cs 0.000 0.000 0.000 [2 per cell]
Hg 0.000 0.500 0.250 [4 per cell]
S 0.000 0.000 0.346 [4 per cell]

---

Below is an optimized crystal structure of CsHgS5, with properties calculated at the PBE level.

Computed properties:
- V (Å³/cell) = 466.2
- size of the total moment (μB/f.u.) = 0.00

abc: 6.366 8.970 9.468
angles: 111.13 103.60 101.26
Space group P-1 (No. 2)
Symmetry-distinct sites (fractional):
Cs 0.152 0.418 0.249 [2 per cell]
Hg 0.500 0.000 0.000 [1 per cell]
Hg 0.500 0.000 0.500 [1 per cell]
S 0.070 0.025 0.923 [2 per cell]
S 0.206 0.830 0.549 [2 per cell]
S 0.349 0.741 0.108 [2 per cell]
S 0.385 0.760 0.710 [2 per cell]
S 0.420 0.382 0.896 [2 per cell]

---

Below is an optimized crystal structure of CsHg2S2, with properties calculated at the PBE level.

Computed properties:
- V (Å³/cell) = 637.1
- size of the total moment (μB/f.u.) = 0.00

abc: 8.901 12.148 7.370
angles: 90.00 126.93 90.00
Space group C2/c (No. 15)
Symmetry-distinct sites (fractional):
Cs 0.000 0.125 0.250 [4 per cell]
Hg 0.143 0.375 0.035 [8 per cell]
S 0.000 0.184 0.750 [4 per cell]
S 0.000 0.434 0.250 [4 per cell]

---

Below is an optimized crystal structure of Cs2HgS2, with properties calculated at the PBE level.

Computed properties:
- V (Å³/cell) = 544.3
- size of the total moment (μB/f.u.) = 0.00

abc: 10.540 6.097 9.183
angles: 90.00 112.74 90.00
Space group C2/m (No. 12)
Symmetry-distinct sites (fractional):
Cs 0.231 0.000 0.185 [4 per cell]
Hg 0.000 0.000 0.500 [2 per cell]
S 0.089 0.000 0.775 [4 per cell]

---

Below is an optimized crystal structure of Cs2HgS2, with properties calculated at the PBE level.

Computed properties:
- V (Å³/cell) = 384.7
- size of the total moment (μB/f.u.) = 0.86

abc: 10.521 10.521 3.475
angles: 90.00 90.00 90.00
Space group P4/mbm (No. 127)
Symmetry-distinct sites (fractional):
Cs 0.144 0.356 0.000 [4 per cell]
Hg 0.000 0.000 0.000 [2 per cell]
S 0.152 0.652 0.500 [4 per cell]

---

Record order is preserved below.
Raw total energy: -0.1037, -0.0823, -0.1235, -0.0849, -0.1066, -0.0849 Ha/atom